[1]
DFT (PBE-GGA) results for ZnIN2 after structural relaxation.

The value obtained for the offset from the most stable computed form is 776 meV/atom. Its uncorrected formation energy is 190 kJ/mol of atoms. The density is 7.3 Mg/m³. The total energy comes out at -11.59 eV for the cell shown.

Structure (POSCAR):
```
ZnIN2
1.0
0.000 2.932 2.932
2.932 0.000 2.932
2.932 2.932 0.000
Zn I N
1 1 2
direct
0.000 0.000 0.000
0.500 0.500 0.500
0.250 0.250 0.250
0.750 0.750 0.750
```

[2]
DFT (PBE-GGA) results for ZnI3N after structural relaxation.

The value obtained for the offset from the most stable computed form is 0 meV/atom. Its uncorrected formation energy is 91 kJ/mol of atoms. The density is 5.8 Mg/m³. The total energy comes out at -9.55 eV for the cell shown.

Structure (POSCAR):
```
ZnI3N
1.0
5.077 0.000 0.000
0.000 5.077 0.000
0.000 0.000 5.077
Zn I N
1 3 1
direct
0.000 0.000 0.000
0.000 0.500 0.500
0.500 0.000 0.500
0.500 0.500 0.000
0.500 0.500 0.500
```

[3]
DFT (PBE-GGA) results for ZnI2N after structural relaxation.

The value obtained for the offset from the most stable computed form is 0 meV/atom. Its uncorrected formation energy is 105 kJ/mol of atoms. The density is 5.1 Mg/m³. The total energy comes out at -16.73 eV for the cell shown.

Structure (POSCAR):
```
ZnI2N
1.0
-2.782 2.782 7.076
2.782 -2.782 7.076
2.782 2.782 -7.076
Zn I N
2 4 2
direct
0.000 0.000 0.000
0.750 0.250 0.500
0.188 0.625 0.063
0.375 0.438 0.563
0.562 0.125 0.937
0.875 0.812 0.437
0.250 0.750 0.500
0.500 0.500 0.000
```

[4]
DFT (PBE-GGA) results for ZnIN3 after structural relaxation.

Its uncorrected formation energy is 213 kJ/mol of atoms. The density is 6.2 Mg/m³. The total energy comes out at -16.77 eV for the cell shown.

Structure (POSCAR):
```
ZnIN3
1.0
3.964 0.000 0.000
0.000 3.964 0.000
0.000 0.000 3.964
Zn I N
1 1 3
direct
0.000 0.000 0.000
0.500 0.500 0.500
0.000 0.500 0.500
0.500 0.000 0.500
0.500 0.500 0.000
```

[5]
DFT (PBE-GGA) results for ZnIN3 after structural relaxation.

Its uncorrected formation energy is 215 kJ/mol of atoms. The density is 6.4 Mg/m³. The total energy comes out at -16.66 eV for the cell shown.

Structure (POSCAR):
```
ZnIN3
1.0
3.923 0.000 0.000
0.000 3.923 0.000
0.000 0.000 3.923
Zn I N
1 1 3
direct
0.000 0.000 0.000
0.500 0.500 0.500
0.000 0.000 0.500
0.000 0.500 0.000
0.500 0.000 0.000
```

[6]
DFT (PBE-GGA) results for Zn3IN after structural relaxation.

The value obtained for the offset from the most stable computed form is 1500 meV/atom. Its uncorrected formation energy is 186 kJ/mol of atoms. The density is 3.4 Mg/m³. The total energy comes out at -4.08 eV for the cell shown.

Structure (POSCAR):
```
Zn3IN
1.0
5.497 0.000 0.000
0.000 5.497 0.000
0.000 0.000 5.497
Zn I N
3 1 1
direct
0.000 0.000 0.500
0.000 0.500 0.000
0.500 0.000 0.000
0.000 0.000 0.000
0.500 0.500 0.500
```